No. 1
## TaCdH (GGA-PBE)

Data for crystalline TaCdH at its relaxed geometry.

As for the volume: 16.35 Å³/atom. Its total magnetization is 0.00 μB per formula unit. The value obtained for the uncorrected energy is -30.16 eV per cell. As for the crystal system: triclinic.

The structure belongs to space group P1 (No. 1); the cell edges are 2.909, 5.276 and 6.716 Å and the angles 103.23°, 101.80° and 90.15°. The asymmetric unit holds Ta at (0.000, 0.000, 0.000), Ta at (0.326, 0.965, 0.643), Cd at (0.489, 0.502, 0.977), Cd at (0.689, 0.295, 0.378), H at (0.335, 0.311, 0.646) and H at (0.762, 0.714, 0.513).

No. 2
## NaTcGe2 (GGA-PBE)

Data for crystalline NaTcGe2 at its relaxed geometry.

As for the volume: 16.23 Å³/atom. Its total magnetization is 0.00 μB per formula unit. The value obtained for the formation energy is 0.259 eV/atom. As for the crystal system: cubic.

The structure belongs to space group Fm-3m (No. 225); the cell edges are 6.379, 6.379 and 6.379 Å and the angles 90.00°, 90.00° and 90.00°. The asymmetric unit holds Na at (0.000, 0.000, 0.000), Tc at (0.000, 0.000, 0.500) and Ge at (0.250, 0.250, 0.250).

No. 3
## Pm2CI (GGA-PBE)

Data for crystalline Pm2CI at its relaxed geometry.

The uncorrected formation energy comes out at -711 meV per atom. As for the volume: 24.96 Å³/atom. Its total magnetization is 0.00 μB per formula unit. As for the crystal system: trigonal.

The structure belongs to space group R-3m (No. 166, hexagonal axes); the cell edges are 3.8662, 3.8662 and 23.1363 Å and the angles 90.00°, 90.00° and 120.00°. The asymmetric unit holds Pm at (0.0000, 0.0000, 0.2241), C at (0.0000, 0.0000, 0.5000) and I at (0.0000, 0.0000, 0.0000).

No. 4
## Ir3WBr (GGA-PBE)

Data for crystalline Ir3WBr at its relaxed geometry.

The uncorrected formation energy comes out at 1844 meV per atom. As for the volume: 22.28 Å³/atom. Its total magnetization is 0.00 μB per formula unit. As for the crystal system: cubic.

The structure belongs to space group Pm-3m (No. 221); the cell edges are 4.812, 4.812 and 4.812 Å and the angles 90.00°, 90.00° and 90.00°. The asymmetric unit holds Ir at (0.000, 0.000, 0.500), W at (0.000, 0.000, 0.000) and Br at (0.500, 0.500, 0.500).

No. 5
## PmDy4Sb2 (GGA-PBE)

Data for crystalline PmDy4Sb2 at its relaxed geometry.

The uncorrected formation energy comes out at 258 meV per atom. As for the volume: 32.73 Å³/atom. Its total magnetization is 0.01 μB per formula unit. As for the crystal system: tetragonal.

The structure belongs to space group I4/mmm (No. 139); the cell edges are 5.271, 5.271 and 16.498 Å and the angles 90.00°, 90.00° and 90.00°. The asymmetric unit holds Pm at (0.000, 0.000, 0.000), Dy at (0.000, 0.000, 0.184), Dy at (0.000, 0.500, 0.000) and Sb at (0.000, 0.000, 0.367).

No. 6
## Sm6Hg2S (GGA-PBE)

Data for crystalline Sm6Hg2S at its relaxed geometry.

The uncorrected formation energy comes out at -595 meV per atom. As for the volume: 29.80 Å³/atom. Its total magnetization is 0.00 μB per formula unit. As for the crystal system: monoclinic.

The structure belongs to space group P2_1/c (No. 14); the cell edges are 6.536, 8.364 and 11.684 Å and the angles 90.00°, 122.89° and 90.00°. The asymmetric unit holds Sm at (0.086, 0.172, 0.440), Sm at (0.304, 0.689, 0.442), Sm at (0.349, 0.035, 0.229), Hg at (0.192, 0.117, 0.756) and S at (0.500, 0.000, 0.500).

No. 7
## Na2GaBiAu6 (GGA-PBE)

Data for crystalline Na2GaBiAu6 at its relaxed geometry.

As for the volume: 28.48 Å³/atom. Its total magnetization is 0.00 μB per formula unit. The value obtained for the formation energy is 0.032 eV/atom. As for the crystal system: cubic.

The structure belongs to space group Fm-3m (No. 225); the cell edges are 10.444, 10.444 and 10.444 Å and the angles 90.00°, 90.00° and 90.00°. The asymmetric unit holds Na at (0.250, 0.250, 0.250), Ga at (0.000, 0.000, 0.000), Bi at (0.000, 0.000, 0.500) and Au at (0.000, 0.000, 0.236).

No. 8
## NaSr2SiAg (GGA-PBE)

Data for crystalline NaSr2SiAg at its relaxed geometry.

The uncorrected formation energy comes out at -60 meV per atom. As for the volume: 36.72 Å³/atom. Its total magnetization is 0.00 μB per formula unit. As for the crystal system: tetragonal.

The structure belongs to space group P4/mmm (No. 123); the cell edges are 6.153, 6.153 and 4.849 Å and the angles 90.00°, 90.00° and 90.00°. The asymmetric unit holds Na at (0.000, 0.000, 0.000), Sr at (0.000, 0.500, 0.500), Si at (0.500, 0.500, 0.500) and Ag at (0.500, 0.500, 0.000).